No. 1
Entry from the Alexandria database: a relaxed structure of AgP2Rh (PBE-GGA).

abc: 4.996 4.996 4.996
angles: 135.78 135.78 64.32
Atoms (fractional coordinates):
Ag: 0.000 0.000 0.000
P: 0.250 0.750 0.500
P: 0.500 0.500 0.000
Rh: 0.750 0.250 0.500

## Properties
Polymorph energy (0 for the lowest one): 319 meV/atom
E_form: 270 meV/atom
SG: I-4m2

No. 2
Entry from the Alexandria database: a relaxed structure of AgP2Rh (PBE-GGA).

abc: 5.667 5.667 5.667
angles: 151.05 130.03 58.78
Atoms (fractional coordinates):
Ag: 0.000 0.000 0.000
P: 0.306 0.806 0.500
P: 0.694 0.194 0.500
Rh: 0.500 0.500 0.000

## Properties
Polymorph energy (0 for the lowest one): 219 meV/atom
E_form: 170 meV/atom
SG: Immm

No. 3
Entry from the Alexandria database: a relaxed structure of AgP2Rh (PBE-GGA).

abc: 4.183 4.183 5.233
angles: 100.21 100.21 45.99
Atoms (fractional coordinates):
Ag: 0.000 0.000 0.000
P: 0.231 0.231 0.679
P: 0.769 0.769 0.321
Rh: 0.500 0.500 0.500

## Properties
Polymorph energy (0 for the lowest one): 54 meV/atom
E_form: 5 meV/atom
SG: C2/m

No. 4
Entry from the Alexandria database: a relaxed structure of AgP2Rh (PBE-GGA).

abc: 7.887 7.887 7.887
angles: 22.52 22.52 22.52
Atoms (fractional coordinates):
Ag: 0.000 0.000 0.000
P: 0.240 0.240 0.240
P: 0.760 0.760 0.760
Rh: 0.500 0.500 0.500

## Properties
Polymorph energy (0 for the lowest one): 61 meV/atom
E_form: 12 meV/atom
SG: R-3m

No. 5
Entry from the Alexandria database: a relaxed structure of AgP2Rh (PBE-GGA).

abc: 7.553 7.553 7.553
angles: 23.73 23.73 23.73
Atoms (fractional coordinates):
Ag: 0.000 0.000 0.000
P: 0.244 0.244 0.244
P: 0.507 0.507 0.507
Rh: 0.771 0.771 0.771

## Properties
Polymorph energy (0 for the lowest one): 111 meV/atom
E_form: 62 meV/atom
SG: R3m

No. 6
Entry from the Alexandria database: a relaxed structure of AgP2Rh (PBE-GGA).

abc: 5.155 5.155 5.155
angles: 145.55 128.56 63.38
Atoms (fractional coordinates):
Ag: 0.000 0.000 0.000
P: 0.282 0.782 0.500
P: 0.493 0.493 0.000
Rh: 0.708 0.208 0.500

## Properties
Polymorph energy (0 for the lowest one): 222 meV/atom
E_form: 173 meV/atom
SG: Imm2